{
  "formula": "BaTaMo",
  "functional": "PBE",
  "state": "relaxed",
  "lattice": [[-3.586, 2.576, -2.197], [3.490, -2.180, -2.718], [-1.798, -2.655, -0.179]],
  "species": ["Ta", "Mo", "Ba"],
  "frac_coords": [[0.333, 0.667, 0.610], [0.667, 0.333, 0.371], [0.000, 0.000, 0.019]],
  "n_ef_per_ev_atom": 1.20,
  "e_tot_ev_per_fu": -20.8,
  "e_form_kcal_per_mol_atoms": 29.62,
  "magmom_total_mub_per_cell": 0.000,
  "e_above_lowest_polymorph_mev_per_atom": 568,
  "crystal_system": "trigonal"
}